1.
Computed, not measured: a relaxed KHoPuCl6 crystal at the PBE-GGA level of DFT.

For the uncorrected formation energy, the calculation gives -18.52 eV/f.u.

The structure belongs to space group P-31c (No. 163); the cell edges are 7.1563, 7.1563 and 13.6848 Å and the angles 90.00°, 90.00° and 120.00°. The distinct sites, in fractional coordinates, are K at (0.0000, 0.0000, 0.0000), Ho at (0.3333, 0.6667, 0.2500), Pu at (0.3333, 0.6667, 0.7500) and Cl at (0.0199, 0.3742, 0.1383).


2.
Computed, not measured: a relaxed Be2FeReGe crystal at the PBE-GGA level of DFT.

The structure belongs to space group P4/mmm (No. 123); the cell edges are 4.2672, 4.2672 and 4.6701 Å and the angles 90.00°, 90.00° and 90.00°. The distinct sites, in fractional coordinates, are Be at (0.0000, 0.5000, 0.0000), Fe at (0.0000, 0.0000, 0.5000), Re at (0.5000, 0.5000, 0.0000) and Ge at (0.5000, 0.5000, 0.5000).


3.
Computed, not measured: a relaxed TmZrSc2 crystal at the PBE-GGA level of DFT.

The calculation puts the distance to the lowest polymorph of the same formula at 0.019 eV per atom.

The structure belongs to space group R-3m (No. 166, hexagonal axes); the cell edges are 3.2947, 3.2947 and 32.2494 Å and the angles 90.00°, 90.00° and 120.00°. The distinct sites, in fractional coordinates, are Tm at (0.0000, 0.0000, 0.0000), Zr at (0.0000, 0.0000, 0.5000) and Sc at (0.0000, 0.0000, 0.2455).


Spin magnetization in μB per formula unit, matching the order above: 6.00, 3.33, 0.00
Final energy in eV/f.u., matching the order above: -49.61, -27.64, -25.47